CrCo2Sb PBE relaxed; formation energy (no corrections) = 0.2552 eV/atom; raw total energy = -6.734 eV/atom; symmetry = C2/m, No. 12; magnetic moment = 0.85 μB per atom; ρ = 8.78 Mg/m³
1.0
4.104 -1.475 0.000
4.104 1.475 0.000
-0.947 0.000 4.556
Cr Co Sb
1 2 1
Direct
0.000 0.000 0.000
0.256 0.256 0.780
0.744 0.744 0.220
0.500 0.500 0.500